Record 1
LiCu2O2 | PBEsol | optimized geometry

Raw formation energy ... -949 meV per atom
DFT total energy ... -25.9 eV/f.u.
Theoretical density ... 5.57 g/cm³

Cell: 2.8434 5.6399 12.3448 Å, 90.00 90.00 90.00°
Fractional positions:
Cu 0.2500 0.1206 0.2568
Cu 0.7500 0.3753 0.4005
Cu 0.2500 0.6247 0.5995
Cu 0.2500 0.1247 0.9005
Cu 0.7500 0.8753 0.0995
Cu 0.7500 0.8794 0.7432
Cu 0.7500 0.3794 0.7568
Cu 0.2500 0.6206 0.2432
Li 0.7500 0.3671 0.0723
Li 0.2500 0.6329 0.9277
Li 0.7500 0.8671 0.4277
Li 0.2500 0.1329 0.5723
O 0.2500 0.1325 0.4071
O 0.2500 0.6325 0.0929
O 0.7500 0.3851 0.6078
O 0.7500 0.8851 0.8922
O 0.7500 0.3675 0.9071
O 0.7500 0.8675 0.5929
O 0.2500 0.1149 0.1078
O 0.2500 0.6149 0.3922

Record 2
LiYRu2 | PBEsol | optimized geometry

Energy relative to the lowest polymorph listed for this composition ... 24 meV per atom
DFT total energy ... -28.1 eV/f.u.
Theoretical density ... 7.70 g/cm³
Energy of formation from the pure elements ... 0.266 eV/atom

Cell: 3.3113 3.3054 5.8739 Å, 90.00 90.00 90.00°
Fractional positions:
Ru 0.0000 0.0000 0.7028
Ru 0.0000 0.0000 0.2972
Li 0.5000 0.5000 0.5000
Y 0.5000 0.5000 0.0000

Record 3
Mg2GeTe | PBEsol | optimized geometry

Raw formation energy ... -95 meV per atom
DFT total energy ... -12.3 eV/f.u.
Theoretical density ... 4.72 g/cm³

Cell: 4.9834 4.9834 4.9834 Å, 60.00 60.00 60.00°
Fractional positions:
Ge 0.0000 0.0000 0.0000
Mg 0.7500 0.7500 0.7500
Mg 0.2500 0.2500 0.2500
Te 0.5000 0.5000 0.5000

Record 4
BeNi5 | PBEsol | optimized geometry

Energy relative to the lowest polymorph listed for this composition ... 0 meV per atom
DFT total energy ... -35.7 eV/f.u.
Theoretical density ... 8.58 g/cm³
Energy of formation from the pure elements ... -0.149 eV/atom

Cell: 2.4693 2.4693 9.6037 Å, 90.00 90.00 90.00°
Fractional positions:
Ni 0.0000 0.0000 0.5000
Ni 0.0000 0.0000 0.8577
Ni 0.0000 0.0000 0.1423
Ni 0.5000 0.5000 0.6768
Ni 0.5000 0.5000 0.3232
Be 0.5000 0.5000 0.0000

Record 5
Eu2O3 | PBEsol | optimized geometry

Raw formation energy ... -2894 meV per atom
DFT total energy ... -51.3 eV/f.u.
Theoretical density ... 7.40 g/cm³

Cell: 9.3635 9.3635 9.3635 Å, 109.47 109.47 109.47°
Fractional positions:
O 0.5074 0.9680 0.7372
O 0.2628 0.7308 0.2702
O 0.2702 0.0394 0.5074
O 0.9606 0.9926 0.2298
O 0.7702 0.2628 0.2308
O 0.4926 0.0320 0.2628
O 0.7692 0.5320 0.0394
O 0.7298 0.9606 0.4926
O 0.9680 0.2372 0.0074
O 0.2308 0.4680 0.9606
O 0.7372 0.2692 0.7298
O 0.4680 0.4606 0.7308
O 0.4606 0.2308 0.9680
O 0.5394 0.7692 0.0320
O 0.0394 0.0074 0.7702
O 0.2372 0.5074 0.4680
O 0.7308 0.7702 0.7628
O 0.0074 0.2702 0.5394
O 0.2692 0.2298 0.2372
O 0.0320 0.7628 0.9926
O 0.2298 0.7372 0.7692
O 0.5320 0.5394 0.2692
O 0.9926 0.7298 0.4606
O 0.7628 0.4926 0.5320
Eu 0.7500 0.5314 0.7814
Eu 0.0000 0.5000 0.5000
Eu 0.0314 0.7814 0.2500
Eu 0.2500 0.4686 0.2186
Eu 0.5000 0.0000 0.5000
Eu 0.7186 0.2500 0.9686
Eu 0.5314 0.2814 0.2500
Eu 0.5000 0.5000 0.0000
Eu 0.2186 0.2500 0.4686
Eu 0.0000 0.0000 0.0000
Eu 0.2500 0.9686 0.7186
Eu 0.2814 0.7500 0.0314
Eu 0.7814 0.7500 0.5314
Eu 0.4686 0.7186 0.7500
Eu 0.9686 0.2186 0.7500
Eu 0.7500 0.0314 0.2814

Record 6
KCrIr4 | PBEsol | optimized geometry

DFT total energy ... -46.5 eV/f.u.
Theoretical density ... 14.14 g/cm³
Energy of formation from the pure elements ... 0.701 eV/atom

Cell: 5.2278 5.2278 5.2278 Å, 60.00 60.00 60.00°
Fractional positions:
Cr 0.0000 0.0000 0.0000
K 0.7500 0.7500 0.7500
Ir 0.3746 0.3746 0.3746
Ir 0.8762 0.3746 0.3746
Ir 0.3746 0.3746 0.8762
Ir 0.3746 0.8762 0.3746

Record 7
Ca3TlPt | PBEsol | optimized geometry

DFT total energy ... -18.2 eV/f.u.
Theoretical density ... 5.33 g/cm³
Energy of formation from the pure elements ... -0.448 eV/atom

Cell: 5.4506 5.4506 5.4506 Å, 90.00 90.00 90.00°
Fractional positions:
Pt 0.0000 0.0000 0.0000
Tl 0.5000 0.5000 0.5000
Ca 0.0000 0.0000 0.5000
Ca 0.0000 0.5000 0.0000
Ca 0.5000 0.0000 0.0000

Record 8
Sr2TaCr | PBEsol | optimized geometry

Energy relative to the lowest polymorph listed for this composition ... 455 meV per atom
DFT total energy ... -21.5 eV/f.u.
Theoretical density ... 6.52 g/cm³
Energy of formation from the pure elements ... 1.244 eV/atom

Cell: 3.2025 5.1293 6.3329 Å, 90.00 90.00 90.00°
Fractional positions:
Cr 0.5000 0.5000 0.5000
Sr 0.0000 0.0000 0.2489
Sr 0.0000 0.0000 0.7511
Ta 0.5000 0.5000 0.0000

Record 9
ZrIn2Sb | PBEsol | optimized geometry

Raw formation energy ... -124 meV per atom
DFT total energy ... -20.1 eV/f.u.
Theoretical density ... 7.66 g/cm³

Cell: 3.4568 3.4568 9.4852 Å, 79.50 79.50 60.00°
Fractional positions:
Sb 0.5040 0.5040 0.4880
Zr 0.2483 0.2483 0.2550
In 0.7496 0.7496 0.7513
In 0.9981 0.9981 0.0057

Record 10
FeRu2Au | PBEsol | optimized geometry

Energy relative to the lowest polymorph listed for this composition ... 0 meV per atom
DFT total energy ... -32.0 eV/f.u.
Theoretical density ... 13.86 g/cm³
Energy of formation from the pure elements ... 0.298 eV/atom

Cell: 3.7758 3.7758 4.6643 Å, 113.88 113.88 90.00°
Fractional positions:
Ru 0.7500 0.2500 0.5000
Ru 0.0000 0.0000 0.0000
Fe 0.2500 0.7500 0.5000
Au 0.5000 0.5000 0.0000

Record 11
Tl2MoCl6 | PBEsol | optimized geometry

Raw formation energy ... -935 meV per atom
DFT total energy ... -37.5 eV/f.u.
Theoretical density ... 5.29 g/cm³

Cell: 6.8308 6.8308 6.8308 Å, 60.00 60.00 60.00°
Fractional positions:
Cl 0.2439 0.7561 0.2439
Cl 0.7561 0.7561 0.2439
Cl 0.2439 0.7561 0.7561
Cl 0.7561 0.2439 0.7561
Cl 0.7561 0.2439 0.2439
Cl 0.2439 0.2439 0.7561
Tl 0.2500 0.2500 0.2500
Tl 0.7500 0.7500 0.7500
Mo 0.0000 0.0000 0.0000

Record 12
TcAg2Br | PBEsol | optimized geometry

Raw formation energy ... 566 meV per atom
Energy relative to the lowest polymorph listed for this composition ... 0 meV per atom
DFT total energy ... -17.5 eV/f.u.
Theoretical density ... 8.20 g/cm³

Cell: 2.8953 4.3932 6.7965 Å, 108.86 102.30 90.00°
Fractional positions:
Tc 0.2267 0.7267 0.4535
Ag 0.7859 0.2859 0.5717
Ag 0.9200 0.9200 0.8401
Br 0.5674 0.5674 0.1347